1.
VASP calculation (PBE) on a relaxed structure of AgSe.

Lattice parameters (Å, degrees): 3.0066 3.0066 10.6792 90.00 90.00 120.00
Element x y z (fractional)
Ag 0.0000 0.0000 0.0159
Ag 0.6667 0.3333 0.2341
Se 0.0000 0.0000 0.4510
Se 0.6667 0.3333 0.7990

formation energy without anion corrections: 215 meV per atom
SG: P-3m1, No. 164

---

2.
VASP calculation (PBE) on a relaxed structure of Zr3C.

Lattice parameters (Å, degrees): 4.5526 4.5526 4.5526 90.00 90.00 90.00
Element x y z (fractional)
C 0.0000 0.0000 0.0000
Zr 0.0000 0.5000 0.0000
Zr 0.0000 0.0000 0.5000
Zr 0.5000 0.0000 0.0000

energy above the lowest structure with this stoichiometry: 3.073 eV per formula unit
SG: Pm-3m, No. 221
formation energy from the elements: 0.37 eV per atom

---

3.
VASP calculation (PBE) on a relaxed structure of Ho2CoSi.

Lattice parameters (Å, degrees): 4.0187 5.6109 7.9088 111.40 90.00 90.00
Element x y z (fractional)
Ho 0.7500 0.2188 0.9411
Ho 0.7500 0.2199 0.4128
Ho 0.2500 0.7801 0.5872
Ho 0.2500 0.7812 0.0589
Co 0.2500 0.3977 0.2237
Co 0.7500 0.6023 0.7763
Si 0.2500 0.3531 0.7105
Si 0.7500 0.6469 0.2895

formation energy without anion corrections: -533 meV per atom
energy above the lowest structure with this stoichiometry: 0.000 eV per formula unit
SG: P2_1/m, No. 11

---

| no. | raw total energy (Ry per atom) |
| --- | --- |
| 1 | -0.2171 |
| 2 | -0.6135 |
| 3 | -0.4376 |